Density functional theory data (PBE) for an optimized crystal structure of Fe2S3.

The calculation puts the volume at 252.3 Å³ per cell. The value obtained for the total magnetization is 0.198 μB per atom. The uncorrected energy comes out at -5.824 eV/atom.

The space group is R3m (No. 160, hexagonal axes) and the conventional cell measures 3.5548, 3.5548 and 23.0543 Å, with angles of 90.00, 90.00 and 120.00 degrees. Symmetry generates all atoms from Fe at (0.0000, 0.0000, 0.0000), Fe at (0.0000, 0.0000, 0.4074), S at (0.0000, 0.0000, 0.2897), S at (0.0000, 0.0000, 0.4957) and S at (0.0000, 0.0000, 0.7267).

---

Density functional theory data (PBE) for an optimized crystal structure of Fe2S3.

The calculation puts the volume at 409.5 Å³ per cell. The value obtained for the total magnetization is 0.001 μB per atom. The uncorrected energy comes out at -6.205 eV/atom.

The space group is R-3c (No. 167, hexagonal axes) and the conventional cell measures 5.8140, 5.8140 and 13.9880 Å, with angles of 90.00, 90.00 and 120.00 degrees. Symmetry generates all atoms from Fe at (0.0000, 0.0000, 0.1585) and S at (0.0000, 0.3186, 0.2500).

---

Density functional theory data (PBE) for an optimized crystal structure of FeS3.

The calculation puts the volume at 62.8 Å³ per cell. The value obtained for the total magnetization is 0.866 μB per atom. The uncorrected energy comes out at -4.194 eV/atom.

The space group is Pm-3m (No. 221) and the conventional cell measures 3.9740, 3.9740 and 3.9740 Å, with angles of 90.00, 90.00 and 90.00 degrees. Symmetry generates all atoms from Fe at (0.0000, 0.0000, 0.0000) and S at (0.0000, 0.5000, 0.5000).

---

Density functional theory data (PBE) for an optimized crystal structure of Fe3S4.

The calculation puts the volume at 418.8 Å³ per cell. The value obtained for the total magnetization is 0.288 μB per atom. The uncorrected energy comes out at -6.296 eV/atom.

The space group is P4_122 (No. 91) and the conventional cell measures 6.6653, 6.6653 and 9.4268 Å, with angles of 90.00, 90.00 and 90.00 degrees. Symmetry generates all atoms from Fe at (0.0000, 0.2468, 0.0000), Fe at (0.2467, 0.5000, 0.7500), Fe at (0.2527, 0.2527, 0.3750), S at (0.0075, 0.2505, 0.7544) and S at (0.2505, 0.4877, 0.9944).

---

Density functional theory data (PBE) for an optimized crystal structure of FeS2.

The calculation puts the volume at 380.6 Å³ per cell. The value obtained for the total magnetization is 1.109 μB per atom. The uncorrected energy comes out at -4.316 eV/atom.

The space group is Fd-3m (No. 227, origin choice 2) and the conventional cell measures 7.2470, 7.2470 and 7.2470 Å, with angles of 90.00, 90.00 and 90.00 degrees. Symmetry generates all atoms from Fe at (0.1250, 0.1250, 0.1250) and S at (0.0000, 0.0000, 0.5000).

---

Density functional theory data (PBE) for an optimized crystal structure of Fe2S3.

The calculation puts the volume at 146.0 Å³ per cell. The value obtained for the total magnetization is 0.537 μB per atom. The uncorrected energy comes out at -6.174 eV/atom.

The space group is P2_1/m (No. 11) and the conventional cell measures 5.7577, 3.2141 and 8.0266 Å, with angles of 90.00, 100.56 and 90.00 degrees. Symmetry generates all atoms from Fe at (0.1395, 0.2500, 0.1755), Fe at (0.3015, 0.2500, 0.5202), S at (0.0374, 0.7500, 0.3516), S at (0.2188, 0.7500, 0.9942) and S at (0.4819, 0.7500, 0.6847).

---

Density functional theory data (PBE) for an optimized crystal structure of Fe2S3.

The calculation puts the volume at 308.1 Å³ per cell. The value obtained for the total magnetization is 0.075 μB per atom. The uncorrected energy comes out at -6.122 eV/atom.

The space group is C2/m (No. 12) and the conventional cell measures 14.1633, 3.2314 and 6.9673 Å, with angles of 90.00, 104.92 and 90.00 degrees. Symmetry generates all atoms from Fe at (0.0958, 0.0000, 0.2975), Fe at (0.1570, 0.5000, 0.8209), S at (0.0016, 0.5000, 0.2416), S at (0.1601, 0.0000, 0.6041) and S at (0.1735, 0.0000, 0.0626).

---

Density functional theory data (PBE) for an optimized crystal structure of Fe2S3.

The calculation puts the volume at 222.5 Å³ per cell. The value obtained for the total magnetization is 0.485 μB per atom. The uncorrected energy comes out at -5.616 eV/atom.

The space group is R-3m (No. 166, hexagonal axes) and the conventional cell measures 2.8972, 2.8972 and 30.6078 Å, with angles of 90.00, 90.00 and 120.00 degrees. Symmetry generates all atoms from Fe at (0.0000, 0.0000, 0.2007), S at (0.0000, 0.0000, 0.0000) and S at (0.0000, 0.0000, 0.4219).

---

Density functional theory data (PBE) for an optimized crystal structure of Fe3S4.

The calculation puts the volume at 663.0 Å³ per cell. The value obtained for the total magnetization is 0.685 μB per atom. The uncorrected energy comes out at -6.356 eV/atom.

The space group is R-3 (No. 148, hexagonal axes) and the conventional cell measures 8.7764, 8.7764 and 9.9398 Å, with angles of 90.00, 90.00 and 120.00 degrees. Symmetry generates all atoms from Fe at (0.0166, 0.8357, 0.3875), S at (0.0000, 0.0000, 0.2244) and S at (0.0214, 0.6324, 0.2541).

---

Density functional theory data (PBE) for an optimized crystal structure of Fe3S4.

The calculation puts the volume at 1129.9 Å³ per cell. The value obtained for the total magnetization is 0.476 μB per atom. The uncorrected energy comes out at -6.178 eV/atom.

The space group is R3 (No. 146, hexagonal axes) and the conventional cell measures 13.5855, 13.5855 and 7.0691 Å, with angles of 90.00, 90.00 and 120.00 degrees. Symmetry generates all atoms from Fe at (0.0240, 0.1121, 0.0000), Fe at (0.1223, 0.0967, 0.7067), Fe at (0.1226, 0.0958, 0.2959), S at (0.0424, 0.2034, 0.7348), S at (0.0467, 0.2057, 0.2623), S at (0.1388, 0.7187, 0.1677) and S at (0.1713, 0.7110, 0.6671).

---

Density functional theory data (PBE) for an optimized crystal structure of Fe3S4.

The calculation puts the volume at 244.4 Å³ per cell. The value obtained for the total magnetization is 0.972 μB per atom. The uncorrected energy comes out at -5.890 eV/atom.

The space group is Pm-3n (No. 223) and the conventional cell measures 6.2522, 6.2522 and 6.2522 Å, with angles of 90.00, 90.00 and 90.00 degrees. Symmetry generates all atoms from Fe at (0.0000, 0.2500, 0.5000) and S at (0.2500, 0.2500, 0.2500).

---

Density functional theory data (PBE) for an optimized crystal structure of Fe7S8.

The calculation puts the volume at 579.1 Å³ per cell. The value obtained for the total magnetization is 0.199 μB per atom. The uncorrected energy comes out at -6.464 eV/atom.

The space group is P3_121 (No. 152) and the conventional cell measures 6.5696, 6.5696 and 15.4930 Å, with angles of 90.00, 90.00 and 120.00 degrees. Symmetry generates all atoms from Fe at (0.0000, 0.0185, 0.1667), Fe at (0.0000, 0.0835, 0.6667), Fe at (0.0000, 0.4394, 0.1667), Fe at (0.0152, 0.5902, 0.8131), Fe at (0.0518, 0.5347, 0.3478), S at (0.1183, 0.2923, 0.0638), S at (0.1350, 0.7893, 0.0813), S at (0.1485, 0.3651, 0.7611) and S at (0.2982, 0.6480, 0.9132).

---

Question: Which formula does entry 12 have?
Answer: Fe7S8

---

Question: What is the uncorrected energy in the tenth record?
Answer: -6.178 eV/atom